A plane-wave DFT calculation with GGA-PBE was carried out for a relaxed structure of Ag8Sn2Sb.

```
Ag8Sn2Sb
1.0
3.5952 -6.6393 0.0000
3.5952 6.6393 0.0000
-2.2318 0.0000 4.8507
Ag Sn Sb
8 2 1
Cartesian
-0.0584 1.4980 3.4241
3.5952 3.6835 0.0000
-0.0584 -1.4980 3.4241
2.6006 0.0000 1.0447
2.3579 0.0000 3.8060
5.0169 1.4980 1.4266
3.5952 -3.6835 0.0000
5.0169 -1.4980 1.4266
2.4793 2.6251 2.4254
2.4793 -2.6251 2.4254
0.0000 0.0000 0.0000
```

Summary:
**Energy relative to the elements, uncorrected**: 0.094 eV/atom
**SG**: No. 12
**Uncorrected energy**: -3.08 eV/atom